Entry 1:
! K2In12Ga7 PBE optimized geometry; values from VASP
&SYSTEM
  ibrav = 0, nat = 21, ntyp = 3
/
ATOMIC_SPECIES
K 39.10 K.upf
In 114.82 In.upf
Ga 69.72 Ga.upf
CELL_PARAMETERS angstrom
11.732 0.000 0.000
-5.866 10.161 0.000
0.000 0.000 4.668
ATOMIC_POSITIONS angstrom
K 0.000 6.774 1.149
K 5.866 3.387 3.520
In -1.790 4.415 3.498
In -0.147 2.573 1.078
In -3.564 9.002 1.078
In 2.155 1.414 3.590
In -1.147 9.503 3.498
In 2.929 3.758 1.170
In 2.937 6.403 3.498
In 7.014 0.658 1.170
In 3.711 8.746 1.078
In 9.430 1.159 3.590
In 6.013 7.587 3.590
In 7.656 5.745 1.170
Ga 0.000 0.000 2.334
Ga -2.807 7.101 3.457
Ga 1.120 4.179 3.457
Ga 4.179 1.119 1.211
Ga 1.687 9.041 3.457
Ga 4.746 5.981 1.211
Ga 8.673 3.060 1.211
! E_tot, eV/atom: -2.714
! N(E_F), states/eV per cell: 7.213

Entry 2:
! KIn2Ga2 PBE optimized geometry; values from VASP
&SYSTEM
  ibrav = 0, nat = 10, ntyp = 3
/
ATOMIC_SPECIES
K 39.10 K.upf
In 114.82 In.upf
Ga 69.72 Ga.upf
CELL_PARAMETERS angstrom
8.884 0.000 0.000
0.000 8.884 0.000
0.000 0.000 3.354
ATOMIC_POSITIONS angstrom
K 0.000 0.000 0.000
K 4.442 4.442 0.000
In 1.178 3.264 0.000
In 3.264 7.706 0.000
In 5.620 1.178 0.000
In 7.706 5.620 0.000
Ga 1.388 5.830 1.677
Ga 3.054 1.388 1.677
Ga 5.830 7.496 1.677
Ga 7.496 3.054 1.677
! E_tot, eV/atom: -2.540
! N(E_F), states/eV per cell: 4.853

Entry 3:
! KIn3Ga PBE optimized geometry; values from VASP
&SYSTEM
  ibrav = 0, nat = 10, ntyp = 3
/
ATOMIC_SPECIES
K 39.10 K.upf
In 114.82 In.upf
Ga 69.72 Ga.upf
CELL_PARAMETERS angstrom
3.693 -6.403 0.000
3.693 6.403 0.000
0.000 0.000 6.339
ATOMIC_POSITIONS angstrom
K 3.693 4.270 4.755
K 3.693 -4.270 1.585
In 1.614 1.203 4.755
In 3.693 2.402 1.585
In 1.614 -1.203 1.585
In 5.772 1.203 4.755
In 3.693 -2.402 4.755
In 5.772 -1.203 1.585
Ga 3.693 0.000 0.000
Ga 3.693 0.000 3.170
! E_tot, eV/atom: -2.485
! N(E_F), states/eV per cell: 5.058

Entry 4:
! KIn10Ga2 PBE optimized geometry; values from VASP
&SYSTEM
  ibrav = 0, nat = 13, ntyp = 3
/
ATOMIC_SPECIES
K 39.10 K.upf
In 114.82 In.upf
Ga 69.72 Ga.upf
CELL_PARAMETERS angstrom
0.000 7.466 7.725
3.120 0.000 7.725
3.120 7.466 0.000
ATOMIC_POSITIONS angstrom
K 0.000 0.000 0.000
In 1.560 3.733 0.000
In 3.120 4.902 2.812
In 3.120 5.891 5.983
In 3.120 10.031 2.812
In 3.120 9.042 5.983
In 1.560 3.733 7.725
In 3.120 5.891 9.468
In 3.120 4.902 12.639
In 3.120 9.042 9.468
In 3.120 10.031 12.639
Ga 1.560 0.000 3.863
Ga 1.560 7.466 3.863
! E_tot, eV/atom: -2.669
! N(E_F), states/eV per cell: 5.435

Entry 5:
! K2In2Ga PBE optimized geometry; values from VASP
&SYSTEM
  ibrav = 0, nat = 5, ntyp = 3
/
ATOMIC_SPECIES
K 39.10 K.upf
In 114.82 In.upf
Ga 69.72 Ga.upf
CELL_PARAMETERS angstrom
-2.333 2.333 8.191
2.333 -2.333 8.191
2.333 2.333 -8.191
ATOMIC_POSITIONS angstrom
K 2.333 0.000 4.095
K 0.000 2.333 4.095
In 0.000 0.000 1.414
In 0.000 0.000 14.967
Ga 0.000 0.000 8.191
! E_tot, eV/atom: -1.840
! N(E_F), states/eV per cell: 3.231

Entry 6:
! K2MgIn3Ga4 PBE optimized geometry; values from VASP
&SYSTEM
  ibrav = 0, nat = 10, ntyp = 4
/
ATOMIC_SPECIES
K 39.10 K.upf
Mg 24.30 Mg.upf
In 114.82 In.upf
Ga 69.72 Ga.upf
CELL_PARAMETERS angstrom
4.721 0.000 0.000
0.000 4.721 0.000
0.000 0.000 11.939
ATOMIC_POSITIONS angstrom
K 0.000 2.360 2.943
K 2.360 0.000 8.996
Mg 0.000 0.000 5.970
In 0.000 2.360 10.339
In 2.360 0.000 1.600
In 2.360 2.360 5.970
Ga 0.000 0.000 0.000
Ga 0.000 2.360 7.581
Ga 2.360 0.000 4.358
Ga 2.360 2.360 0.000
! E_tot, eV/atom: -2.520
! N(E_F), states/eV per cell: 4.870

Entry 7:
! KMnIn2Ga PBE optimized geometry; values from VASP
&SYSTEM
  ibrav = 0, nat = 5, ntyp = 4
/
ATOMIC_SPECIES
K 39.10 K.upf
Mn 54.94 Mn.upf
In 114.82 In.upf
Ga 69.72 Ga.upf
CELL_PARAMETERS angstrom
5.115 0.000 0.000
0.000 5.115 0.000
0.000 0.000 4.831
ATOMIC_POSITIONS angstrom
K 0.000 0.000 0.000
Mn 2.557 2.557 2.415
In 0.000 2.557 2.415
In 2.557 0.000 2.415
Ga 2.557 2.557 0.000
! E_tot, eV/atom: -3.723
! N(E_F), states/eV per cell: 2.008

Entry 8:
! KInGaMo2 PBE optimized geometry; values from VASP
&SYSTEM
  ibrav = 0, nat = 5, ntyp = 4
/
ATOMIC_SPECIES
K 39.10 K.upf
In 114.82 In.upf
Ga 69.72 Ga.upf
Mo 95.94 Mo.upf
CELL_PARAMETERS angstrom
4.727 0.000 0.000
0.000 4.727 0.000
0.000 0.000 5.519
ATOMIC_POSITIONS angstrom
K 0.000 0.000 0.000
In 0.000 0.000 2.760
Ga 2.364 2.364 2.760
Mo 0.000 2.364 0.000
Mo 2.364 0.000 0.000
! E_tot, eV/atom: -3.038
! N(E_F), states/eV per cell: 5.898

Entry 9:
! KNa2InGa PBE optimized geometry; values from VASP
&SYSTEM
  ibrav = 0, nat = 5, ntyp = 4
/
ATOMIC_SPECIES
K 39.10 K.upf
Na 22.99 Na.upf
In 114.82 In.upf
Ga 69.72 Ga.upf
CELL_PARAMETERS angstrom
5.871 0.000 0.000
0.000 5.871 0.000
0.000 0.000 5.267
ATOMIC_POSITIONS angstrom
K 0.000 0.000 0.000
Na 0.000 2.936 2.634
Na 2.936 0.000 2.634
In 2.936 2.936 0.000
Ga 2.936 2.936 2.634
! E_tot, eV/atom: -1.887
! N(E_F), states/eV per cell: 2.046

Entry 10:
! KNa2InGa PBE optimized geometry; values from VASP
&SYSTEM
  ibrav = 0, nat = 5, ntyp = 4
/
ATOMIC_SPECIES
K 39.10 K.upf
Na 22.99 Na.upf
In 114.82 In.upf
Ga 69.72 Ga.upf
CELL_PARAMETERS angstrom
6.061 0.000 0.000
0.000 6.061 0.000
0.000 0.000 5.249
ATOMIC_POSITIONS angstrom
K 0.000 0.000 0.000
Na 0.000 3.030 2.624
Na 3.030 0.000 2.624
In 3.030 3.030 2.624
Ga 3.030 3.030 0.000
! E_tot, eV/atom: -1.832
! N(E_F), states/eV per cell: 1.731

Entry 11:
! K3InGa2O6 PBE optimized geometry; values from VASP
&SYSTEM
  ibrav = 0, nat = 12, ntyp = 4
/
ATOMIC_SPECIES
K 39.10 K.upf
In 114.82 In.upf
Ga 69.72 Ga.upf
O 16.00 O.upf
CELL_PARAMETERS angstrom
6.018 0.000 0.000
-3.009 5.212 0.000
0.000 0.000 7.069
ATOMIC_POSITIONS angstrom
K 0.000 0.000 0.000
K 0.000 3.474 5.380
K 3.009 1.737 1.689
In 0.000 0.000 3.534
Ga 0.000 3.474 2.216
Ga 3.009 1.737 4.852
O 0.000 1.694 2.107
O -1.541 4.364 2.107
O 1.467 0.847 4.961
O 1.541 4.364 2.107
O 4.550 0.847 4.961
O 3.009 3.517 4.961
! E_tot, eV/atom: -5.027
! N(E_F), states/eV per cell: 0.000

Entry 12:
! K3In3GaO8 PBE optimized geometry; values from VASP
&SYSTEM
  ibrav = 0, nat = 15, ntyp = 4
/
ATOMIC_SPECIES
K 39.10 K.upf
In 114.82 In.upf
Ga 69.72 Ga.upf
O 16.00 O.upf
CELL_PARAMETERS angstrom
3.264 1.885 6.277
-3.264 1.885 6.277
0.000 -3.769 6.277
ATOMIC_POSITIONS angstrom
K -1.632 -0.942 6.277
K -1.632 0.942 12.555
K 0.000 1.885 6.277
In -3.264 0.000 9.416
In -1.632 0.942 3.139
In 1.632 0.942 3.139
Ga 0.000 0.000 9.416
O 0.000 0.000 4.302
O -1.527 -0.881 10.499
O 0.000 -1.763 8.333
O -1.527 0.881 8.333
O 1.527 -0.881 10.499
O 0.000 1.763 10.499
O 1.527 0.881 8.333
O 0.000 0.000 14.530
! E_tot, eV/atom: -5.117
! N(E_F), states/eV per cell: 13.653

Entry 13:
! KInGaO4 PBE optimized geometry; values from VASP
&SYSTEM
  ibrav = 0, nat = 7, ntyp = 4
/
ATOMIC_SPECIES
K 39.10 K.upf
In 114.82 In.upf
Ga 69.72 Ga.upf
O 16.00 O.upf
CELL_PARAMETERS angstrom
-2.901 2.901 4.230
2.901 -2.901 4.230
2.901 2.901 -4.230
ATOMIC_POSITIONS angstrom
K 0.000 0.000 0.000
In 0.000 0.000 4.230
Ga 2.901 0.000 2.115
O 1.594 -0.785 3.168
O 2.116 1.307 1.062
O 1.307 3.686 -1.062
O 0.785 1.594 5.292
! E_tot, eV/atom: -5.166
! N(E_F), states/eV per cell: 7.461

Entry 14:
! KInGa2Os PBE optimized geometry; values from VASP
&SYSTEM
  ibrav = 0, nat = 5, ntyp = 4
/
ATOMIC_SPECIES
K 39.10 K.upf
In 114.82 In.upf
Ga 69.72 Ga.upf
Os 190.23 Os.upf
CELL_PARAMETERS angstrom
4.917 0.000 0.000
0.000 4.917 0.000
0.000 0.000 5.209
ATOMIC_POSITIONS angstrom
K 0.000 0.000 0.000
In 2.459 2.459 0.000
Ga 0.000 2.459 2.605
Ga 2.459 0.000 2.605
Os 2.459 2.459 2.605
! E_tot, eV/atom: -4.373
! N(E_F), states/eV per cell: 0.619

Entry 15:
! K2In3Ga4Pb PBE optimized geometry; values from VASP
&SYSTEM
  ibrav = 0, nat = 10, ntyp = 4
/
ATOMIC_SPECIES
K 39.10 K.upf
In 114.82 In.upf
Ga 69.72 Ga.upf
Pb 207.20 Pb.upf
CELL_PARAMETERS angstrom
4.839 0.000 0.000
0.000 4.839 0.000
0.000 0.000 11.950
ATOMIC_POSITIONS angstrom
K 0.000 2.420 2.907
K 2.420 0.000 9.043
In 0.000 2.420 10.413
In 2.420 0.000 1.537
In 2.420 2.420 5.975
Ga 0.000 0.000 0.000
Ga 0.000 2.420 7.664
Ga 2.420 0.000 4.286
Ga 2.420 2.420 0.000
Pb 0.000 0.000 5.975
! E_tot, eV/atom: -2.732
! N(E_F), states/eV per cell: 4.739

Entry 16:
! K2In4Ga3Pb PBE optimized geometry; values from VASP
&SYSTEM
  ibrav = 0, nat = 10, ntyp = 4
/
ATOMIC_SPECIES
K 39.10 K.upf
In 114.82 In.upf
Ga 69.72 Ga.upf
Pb 207.20 Pb.upf
CELL_PARAMETERS angstrom
4.863 0.000 0.000
0.000 4.863 0.000
0.000 0.000 12.214
ATOMIC_POSITIONS angstrom
K 0.000 2.432 2.974
K 2.432 0.000 9.240
In 0.000 0.000 0.000
In 0.000 2.432 7.901
In 2.432 0.000 4.313
In 2.432 2.432 0.000
Ga 0.000 2.432 10.636
Ga 2.432 0.000 1.578
Ga 2.432 2.432 6.107
Pb 0.000 0.000 6.107
! E_tot, eV/atom: -2.707
! N(E_F), states/eV per cell: 4.063

Entry 17:
! KInGa2Pd PBE optimized geometry; values from VASP
&SYSTEM
  ibrav = 0, nat = 5, ntyp = 4
/
ATOMIC_SPECIES
K 39.10 K.upf
In 114.82 In.upf
Ga 69.72 Ga.upf
Pd 106.42 Pd.upf
CELL_PARAMETERS angstrom
4.990 0.000 0.000
0.000 4.990 0.000
0.000 0.000 5.309
ATOMIC_POSITIONS angstrom
K 0.000 0.000 0.000
In 2.495 2.495 0.000
Ga 0.000 2.495 2.654
Ga 2.495 0.000 2.654
Pd 2.495 2.495 2.654
! E_tot, eV/atom: -3.163
! N(E_F), states/eV per cell: 2.585

Entry 18:
! KIn2GaPd PBE optimized geometry; values from VASP
&SYSTEM
  ibrav = 0, nat = 5, ntyp = 4
/
ATOMIC_SPECIES
K 39.10 K.upf
In 114.82 In.upf
Ga 69.72 Ga.upf
Pd 106.42 Pd.upf
CELL_PARAMETERS angstrom
5.317 0.000 0.000
0.000 5.317 0.000
0.000 0.000 4.981
ATOMIC_POSITIONS angstrom
K 0.000 0.000 0.000
In 0.000 2.659 2.490
In 2.659 0.000 2.490
Ga 2.659 2.659 0.000
Pd 2.659 2.659 2.490
! E_tot, eV/atom: -3.121
! N(E_F), states/eV per cell: 2.705

Entry 19:
! KInGaPt PBE optimized geometry; values from VASP
&SYSTEM
  ibrav = 0, nat = 4, ntyp = 4
/
ATOMIC_SPECIES
K 39.10 K.upf
In 114.82 In.upf
Ga 69.72 Ga.upf
Pt 195.08 Pt.upf
CELL_PARAMETERS angstrom
2.233 1.289 6.395
-2.233 1.289 6.395
0.000 -2.579 6.395
ATOMIC_POSITIONS angstrom
K 0.000 0.000 0.000
In 0.000 0.000 3.756
Ga 0.000 0.000 8.781
Pt 0.000 0.000 15.494
! E_tot, eV/atom: -3.611
! N(E_F), states/eV per cell: 0.934

Entry 20:
! K2InGa3Pt4 PBE optimized geometry; values from VASP
&SYSTEM
  ibrav = 0, nat = 10, ntyp = 4
/
ATOMIC_SPECIES
K 39.10 K.upf
In 114.82 In.upf
Ga 69.72 Ga.upf
Pt 195.08 Pt.upf
CELL_PARAMETERS angstrom
4.424 0.000 0.000
0.000 4.424 0.000
0.000 0.000 10.810
ATOMIC_POSITIONS angstrom
K 0.000 2.212 2.624
K 2.212 0.000 8.187
In 0.000 0.000 5.405
Ga 0.000 2.212 9.477
Ga 2.212 0.000 1.333
Ga 2.212 2.212 5.405
Pt 0.000 0.000 0.000
Pt 0.000 2.212 6.924
Pt 2.212 0.000 3.886
Pt 2.212 2.212 0.000
! E_tot, eV/atom: -4.295
! N(E_F), states/eV per cell: 4.196

Entry 21:
! KInGa2Pt PBE optimized geometry; values from VASP
&SYSTEM
  ibrav = 0, nat = 5, ntyp = 4
/
ATOMIC_SPECIES
K 39.10 K.upf
In 114.82 In.upf
Ga 69.72 Ga.upf
Pt 195.08 Pt.upf
CELL_PARAMETERS angstrom
4.962 0.000 0.000
0.000 4.962 0.000
0.000 0.000 5.391
ATOMIC_POSITIONS angstrom
K 0.000 0.000 0.000
In 2.481 2.481 0.000
Ga 0.000 2.481 2.696
Ga 2.481 0.000 2.696
Pt 2.481 2.481 2.696
! E_tot, eV/atom: -3.386
! N(E_F), states/eV per cell: 3.148

Entry 22:
! K2RbInGa PBE optimized geometry; values from VASP
&SYSTEM
  ibrav = 0, nat = 5, ntyp = 4
/
ATOMIC_SPECIES
K 39.10 K.upf
Rb 85.47 Rb.upf
In 114.82 In.upf
Ga 69.72 Ga.upf
CELL_PARAMETERS angstrom
6.801 0.000 0.000
0.000 6.801 0.000
0.000 0.000 5.269
ATOMIC_POSITIONS angstrom
K 0.000 3.401 0.000
K 3.401 0.000 0.000
Rb 0.000 0.000 2.634
In 3.401 3.401 2.634
Ga 3.401 3.401 0.000
! E_tot, eV/atom: -1.726
! N(E_F), states/eV per cell: 3.450

Entry 23:
! KInGa2Re PBE optimized geometry; values from VASP
&SYSTEM
  ibrav = 0, nat = 5, ntyp = 4
/
ATOMIC_SPECIES
K 39.10 K.upf
In 114.82 In.upf
Ga 69.72 Ga.upf
Re 186.21 Re.upf
CELL_PARAMETERS angstrom
4.960 0.000 0.000
0.000 4.960 0.000
0.000 0.000 5.261
ATOMIC_POSITIONS angstrom
K 0.000 0.000 0.000
In 2.480 2.480 0.000
Ga 0.000 2.480 2.630
Ga 2.480 0.000 2.630
Re 2.480 2.480 2.630
! E_tot, eV/atom: -4.454
! N(E_F), states/eV per cell: 4.201

Entry 24:
! KIn2GaRu PBE optimized geometry; values from VASP
&SYSTEM
  ibrav = 0, nat = 5, ntyp = 4
/
ATOMIC_SPECIES
K 39.10 K.upf
In 114.82 In.upf
Ga 69.72 Ga.upf
Ru 101.07 Ru.upf
CELL_PARAMETERS angstrom
5.220 0.000 0.000
0.000 5.220 0.000
0.000 0.000 4.918
ATOMIC_POSITIONS angstrom
K 0.000 0.000 0.000
In 0.000 2.610 2.459
In 2.610 0.000 2.459
Ga 2.610 2.610 0.000
Ru 2.610 2.610 2.459
! E_tot, eV/atom: -3.948
! N(E_F), states/eV per cell: 1.284

Entry 25:
! KInGa2Ru PBE optimized geometry; values from VASP
&SYSTEM
  ibrav = 0, nat = 5, ntyp = 4
/
ATOMIC_SPECIES
K 39.10 K.upf
In 114.82 In.upf
Ga 69.72 Ga.upf
Ru 101.07 Ru.upf
CELL_PARAMETERS angstrom
4.902 0.000 0.000
0.000 4.902 0.000
0.000 0.000 5.191
ATOMIC_POSITIONS angstrom
K 0.000 0.000 0.000
In 2.451 2.451 0.000
Ga 0.000 2.451 2.595
Ga 2.451 0.000 2.595
Ru 2.451 2.451 2.595
! E_tot, eV/atom: -4.055
! N(E_F), states/eV per cell: 1.298